Entry 1:
LiPuPa2N6: optimized geometry, GGA-PBE.

Its space-group type is R3, No. 146.

Cell lengths 5.849, 5.849, 5.887 Å; angles 60.21, 60.21, 60.00 degrees
Positions (direct):
1 Li 0.803 0.803 0.591
2 Pu 0.314 0.314 0.057
3 Pa 0.532 0.532 0.403
4 Pa 0.023 0.024 0.930
5 N 0.602 0.215 0.238
6 N 0.215 0.944 0.238
7 N 0.944 0.602 0.238
8 N 0.399 0.682 0.773
9 N 0.682 0.145 0.773
10 N 0.145 0.399 0.773

Entry 2:
RbLiPa4N8: optimized geometry, GGA-PBE.

Its space-group type is R3m, No. 160.

Cell lengths 7.192, 7.192, 6.927 Å; angles 58.73, 58.73, 60.00 degrees
Positions (direct):
1 Rb 0.384 0.384 0.849
2 Li 0.021 0.021 0.936
3 Pa 0.618 0.618 0.147
4 Pa 0.005 0.488 0.501
5 Pa 0.488 0.005 0.501
6 Pa 0.005 0.005 0.501
7 N 0.235 0.836 0.694
8 N 0.836 0.235 0.694
9 N 0.235 0.235 0.694
10 N 0.227 0.227 0.319
11 N 0.726 0.244 0.305
12 N 0.244 0.726 0.305
13 N 0.726 0.726 0.305
14 N 0.751 0.751 0.748

Entry 3:
RbLi2Pa3N6: optimized geometry, GGA-PBE.

Its space-group type is C2/m, No. 12.

Cell lengths 3.577, 8.037, 7.616 Å; angles 105.61, 103.58, 90.00 degrees
Positions (direct):
1 Rb 0.500 0.000 0.000
2 Li 0.815 0.562 0.629
3 Li 0.185 0.438 0.371
4 Pa 0.500 0.500 0.000
5 Pa 0.817 0.187 0.633
6 Pa 0.183 0.813 0.367
7 N 0.321 0.021 0.641
8 N 0.673 0.606 0.346
9 N 0.679 0.979 0.359
10 N 0.977 0.320 0.954
11 N 0.023 0.680 0.046
12 N 0.327 0.394 0.654

Entry 4:
LiPa2ReN5: optimized geometry, GGA-PBE.

Its space-group type is Cmc2_1, No. 36.

Cell lengths 3.380, 6.731, 9.457 Å; angles 90.00, 90.00, 104.54 degrees
Positions (direct):
1 Li 0.523 0.047 0.971
2 Li 0.477 0.953 0.471
3 Pa 0.865 0.730 0.805
4 Pa 0.113 0.226 0.691
5 Pa 0.135 0.270 0.305
6 Pa 0.887 0.774 0.191
7 Re 0.807 0.613 0.507
8 Re 0.193 0.387 0.007
9 N 0.358 0.716 0.000
10 N 0.693 0.386 0.874
11 N 0.498 0.996 0.765
12 N 0.289 0.578 0.657
13 N 0.947 0.893 0.554
14 N 0.642 0.284 0.500
15 N 0.307 0.614 0.374
16 N 0.502 0.004 0.265
17 N 0.711 0.422 0.157
18 N 0.053 0.107 0.054

Entry 5:
Li3Pa3ReN8: optimized geometry, GGA-PBE.

Its space-group type is R-3m, No. 166.

Cell lengths 6.827, 6.827, 6.368 Å; angles 122.41, 90.00, 120.00 degrees
Positions (direct):
1 Li 0.000 0.000 0.000
2 Li 0.000 0.500 0.000
3 Li 0.500 0.500 0.000
4 Pa 0.500 0.000 0.500
5 Pa 0.500 0.500 0.500
6 Pa 0.000 0.500 0.500
7 Re 0.000 0.000 0.500
8 N 0.260 0.521 0.281
9 N 0.740 0.479 0.719
10 N 0.779 0.559 0.294
11 N 0.221 0.441 0.706
12 N 0.779 0.015 0.294
13 N 0.221 0.985 0.706
14 N 0.236 0.015 0.294
15 N 0.764 0.985 0.706

Entry 6:
Li3Pa2ReN6: optimized geometry, GGA-PBE.

Its space-group type is C2/m, No. 12.

Cell lengths 5.869, 5.869, 5.335 Å; angles 98.49, 98.49, 121.55 degrees
Positions (direct):
1 Li 0.124 0.876 0.500
2 Li 0.876 0.124 0.500
3 Li 0.500 0.500 0.500
4 Pa 0.332 0.668 0.000
5 Pa 0.668 0.332 0.000
6 Re 0.000 0.000 0.000
7 N 0.938 0.635 0.788
8 N 0.741 0.741 0.218
9 N 0.062 0.365 0.212
10 N 0.635 0.938 0.788
11 N 0.259 0.259 0.782
12 N 0.365 0.062 0.212

Entry 7:
Li2PaReN4: optimized geometry, GGA-PBE.

Its space-group type is Cmcm, No. 63.

Cell lengths 3.240, 6.348, 9.421 Å; angles 90.00, 90.00, 104.78 degrees
Positions (direct):
1 Li 0.408 0.817 0.538
2 Li 0.592 0.183 0.038
3 Li 0.592 0.183 0.462
4 Li 0.408 0.817 0.962
5 Pa 0.046 0.093 0.750
6 Pa 0.954 0.907 0.250
7 Re 0.784 0.569 0.750
8 Re 0.216 0.431 0.250
9 N 0.312 0.623 0.111
10 N 0.688 0.377 0.611
11 N 0.688 0.377 0.889
12 N 0.312 0.623 0.389
13 N 0.000 0.000 0.500
14 N 0.000 0.000 0.000
15 N 0.398 0.795 0.750
16 N 0.602 0.205 0.250

Entry 8:
LiPa2RhN4: optimized geometry, GGA-PBE.

Its space-group type is Fmm2, No. 42.

Cell lengths 4.896, 4.896, 5.557 Å; angles 116.14, 116.14, 90.00 degrees
Positions (direct):
1 Li 0.936 0.936 0.000
2 Pa 0.187 0.687 0.500
3 Pa 0.687 0.187 0.500
4 Rh 0.437 0.437 0.000
5 N 0.937 0.438 0.000
6 N 0.438 0.937 0.000
7 N 0.189 0.189 0.503
8 N 0.686 0.686 0.497

Entry 9:
Li3Pa2RhN6: optimized geometry, GGA-PBE.

Its space-group type is C2/m, No. 12.

Cell lengths 5.845, 5.845, 5.340 Å; angles 98.33, 98.33, 121.63 degrees
Positions (direct):
1 Li 0.127 0.873 0.500
2 Li 0.873 0.127 0.500
3 Li 0.500 0.500 0.500
4 Pa 0.333 0.667 0.000
5 Pa 0.667 0.333 0.000
6 Rh 0.000 0.000 0.000
7 N 0.933 0.621 0.783
8 N 0.737 0.737 0.223
9 N 0.067 0.379 0.217
10 N 0.621 0.933 0.783
11 N 0.263 0.263 0.777
12 N 0.379 0.067 0.217

Entry 10:
Li3Pa3RuN8: optimized geometry, GGA-PBE.

Its space-group type is R-3m, No. 166.

Cell lengths 6.809, 6.809, 6.357 Å; angles 122.38, 90.00, 120.00 degrees
Positions (direct):
1 Li 0.000 0.000 0.000
2 Li 0.000 0.500 0.000
3 Li 0.500 0.500 0.000
4 Pa 0.500 0.000 0.500
5 Pa 0.500 0.500 0.500
6 Pa 0.000 0.500 0.500
7 Ru 0.000 0.000 0.500
8 N 0.259 0.518 0.276
9 N 0.741 0.482 0.724
10 N 0.776 0.552 0.294
11 N 0.224 0.448 0.706
12 N 0.776 0.018 0.294
13 N 0.224 0.982 0.706
14 N 0.242 0.018 0.294
15 N 0.758 0.982 0.706

Entry 11:
Li2PaRuN4: optimized geometry, GGA-PBE.

Its space-group type is Cmcm, No. 63.

Cell lengths 3.363, 6.008, 9.437 Å; angles 90.00, 90.00, 106.25 degrees
Positions (direct):
1 Li 0.403 0.807 0.539
2 Li 0.597 0.193 0.039
3 Li 0.597 0.193 0.461
4 Li 0.403 0.807 0.961
5 Pa 0.071 0.141 0.750
6 Pa 0.929 0.859 0.250
7 Ru 0.808 0.616 0.750
8 Ru 0.192 0.384 0.250
9 N 0.313 0.626 0.123
10 N 0.687 0.374 0.623
11 N 0.687 0.374 0.877
12 N 0.313 0.626 0.377
13 N 0.000 0.000 0.500
14 N 0.000 0.000 0.000
15 N 0.402 0.805 0.750
16 N 0.598 0.195 0.250

Entry 12:
Li3Pa2RuN6: optimized geometry, GGA-PBE.

Its space-group type is C2/m, No. 12.

Cell lengths 5.858, 5.858, 5.330 Å; angles 98.42, 98.42, 121.49 degrees
Positions (direct):
1 Li 0.126 0.874 0.500
2 Li 0.874 0.126 0.500
3 Li 0.500 0.500 0.500
4 Pa 0.333 0.667 0.000
5 Pa 0.667 0.333 0.000
6 Ru 0.000 0.000 0.000
7 N 0.935 0.626 0.786
8 N 0.740 0.740 0.220
9 N 0.065 0.374 0.214
10 N 0.626 0.935 0.786
11 N 0.260 0.260 0.780
12 N 0.374 0.065 0.214

| no. | M_tot (Bohr magnetons per cell) | raw formation energy (eV per formula unit) |
| --- | --- | --- |
| 1 | 1.00 | -10.32 |
| 2 | 0.00 | -13.45 |
| 3 | 0.00 | -14.70 |
| 4 | 0.00 | -8.67 |
| 5 | 0.84 | -13.97 |
| 6 | 1.43 | -10.44 |
| 7 | 0.01 | -3.78 |
| 8 | 0.00 | -8.45 |
| 9 | 0.00 | -8.52 |
| 10 | 0.00 | -11.87 |
| 11 | 0.00 | -2.38 |
| 12 | 2.32 | -9.11 |